(1)
The following is a GGA-PBEsol calculation of an optimized crystal structure of CdH12C2N2Cl4, from Alexandria.

Output
DFT total energy   -4.599 eV/atom

Lattice parameters (Å, degrees): 7.331 7.519 10.298 68.59 90.00 90.00
Sites, in units of the cell vectors:
1 Cd 0.000 0.000 0.000
2 Cd 0.500 0.500 0.000
3 H 0.967 0.695 0.831
4 H 0.033 0.526 0.169
5 H 0.467 0.026 0.169
6 H 0.533 0.195 0.831
7 H 0.033 0.305 0.169
8 H 0.967 0.474 0.831
9 H 0.533 0.974 0.831
10 H 0.467 0.805 0.169
11 H 0.158 0.613 0.774
12 H 0.842 0.387 0.226
13 H 0.658 0.887 0.226
14 H 0.342 0.113 0.774
15 H 0.988 0.831 0.578
16 H 0.012 0.408 0.422
17 H 0.488 0.908 0.422
18 H 0.512 0.331 0.578
19 H 0.012 0.169 0.422
20 H 0.988 0.592 0.578
21 H 0.512 0.092 0.578
22 H 0.488 0.669 0.422
23 H 0.790 0.681 0.638
24 H 0.210 0.319 0.362
25 H 0.290 0.819 0.362
26 H 0.710 0.181 0.638
27 C 0.940 0.684 0.632
28 C 0.060 0.316 0.368
29 C 0.440 0.816 0.368
30 C 0.560 0.184 0.632
31 N 0.014 0.612 0.776
32 N 0.986 0.388 0.224
33 N 0.514 0.888 0.224
34 N 0.486 0.112 0.776
35 Cl 0.750 0.271 0.957
36 Cl 0.250 0.229 0.043
37 Cl 0.250 0.729 0.043
38 Cl 0.750 0.771 0.957
39 Cl 0.062 0.130 0.740
40 Cl 0.938 0.870 0.260
41 Cl 0.562 0.370 0.260
42 Cl 0.438 0.630 0.740

***

(2)
The following is a GGA-PBEsol calculation of an optimized crystal structure of Li2Pd2Pb, from Alexandria.

Output
Energy of formation   -0.32 eV per atom

Lattice parameters (Å, degrees): 3.073 7.218 7.218 90.00 90.00 90.00
Sites, in units of the cell vectors:
1 Pb 0.000 0.000 0.000
2 Pb 0.000 0.500 0.500
3 Pd 0.000 0.361 0.861
4 Pd 0.000 0.861 0.639
5 Pd 0.000 0.639 0.139
6 Pd 0.000 0.139 0.361
7 Li 0.500 0.155 0.655
8 Li 0.500 0.655 0.845
9 Li 0.500 0.845 0.345
10 Li 0.500 0.345 0.155

***

(3)
The following is a GGA-PBEsol calculation of an optimized crystal structure of CaYGa2Sn, from Alexandria.

Output
Energy of formation   0.42 eV per atom

Lattice parameters (Å, degrees): 5.116 5.116 5.439 90.00 90.00 90.00
Sites, in units of the cell vectors:
1 Y 0.500 0.500 0.500
2 Ca 0.000 0.000 0.000
3 Sn 0.000 0.000 0.500
4 Ga 0.000 0.500 0.000
5 Ga 0.500 0.000 0.000

***

(4)
The following is a GGA-PBEsol calculation of an optimized crystal structure of KSbSe, from Alexandria.

Output
Uncorrected formation energy   -0.211 eV/atom

Lattice parameters (Å, degrees): 3.100 5.479 5.479 120.00 90.00 90.00
Sites, in units of the cell vectors:
1 Sb 0.000 0.667 0.333
2 K 0.500 0.000 0.000
3 Se 0.000 0.333 0.667

***

(5)
The following is a GGA-PBEsol calculation of an optimized crystal structure of ScFe2CF, from Alexandria.

Output
Uncorrected formation energy   1.783 eV/atom

Lattice parameters (Å, degrees): 3.910 4.802 4.802 90.00 90.00 90.00
Site moments in Bohr magnetons follow the coordinates.
Sites, in units of the cell vectors:
1 Sc 0.000 0.000 0.000  -0.29
2 C 0.500 0.000 0.000  0.19
3 Fe 0.000 0.000 0.500  3.06
4 Fe 0.000 0.500 0.000  3.06
5 F 0.500 0.500 0.500  0.14

***

(6)
The following is a GGA-PBEsol calculation of an optimized crystal structure of Ba2MgRe, from Alexandria.

Output
Energy of formation   1.00 eV per atom

Lattice parameters (Å, degrees): 3.689 5.726 5.726 90.00 90.00 90.00
Site moments in Bohr magnetons follow the coordinates.
Sites, in units of the cell vectors:
1 Ba 0.000 0.000 0.500  -0.02
2 Ba 0.000 0.500 0.000  -0.02
3 Mg 0.500 0.500 0.500  0.00
4 Re 0.500 0.000 0.000  1.70

***

(7)
The following is a GGA-PBEsol calculation of an optimized crystal structure of Na5AlH8O8, from Alexandria.

Output
DFT total energy   -5.093 eV/atom

Lattice parameters (Å, degrees): 9.230 9.230 9.494 90.00 90.00 90.00
Sites, in units of the cell vectors:
1 Na 0.382 0.870 0.472
2 Na 0.618 0.130 0.972
3 Na 0.370 0.118 0.722
4 Na 0.630 0.882 0.222
5 Na 0.130 0.618 0.028
6 Na 0.870 0.382 0.528
7 Na 0.118 0.370 0.278
8 Na 0.882 0.630 0.778
9 Na 0.110 0.634 0.536
10 Na 0.890 0.366 0.036
11 Na 0.134 0.390 0.786
12 Na 0.866 0.610 0.286
13 Na 0.366 0.890 0.964
14 Na 0.634 0.110 0.464
15 Na 0.390 0.134 0.214
16 Na 0.610 0.866 0.714
17 Na 0.879 0.879 0.500
18 Na 0.121 0.121 0.000
19 Na 0.379 0.621 0.750
20 Na 0.621 0.379 0.250
21 Al 0.130 0.870 0.250
22 Al 0.870 0.130 0.750
23 Al 0.370 0.370 0.500
24 Al 0.630 0.630 0.000
25 H 0.882 0.958 0.215
26 H 0.118 0.042 0.715
27 H 0.458 0.618 0.465
28 H 0.542 0.382 0.965
29 H 0.042 0.118 0.285
30 H 0.958 0.882 0.785
31 H 0.618 0.458 0.535
32 H 0.382 0.542 0.035
33 H 0.361 0.781 0.180
34 H 0.639 0.219 0.680
35 H 0.281 0.139 0.430
36 H 0.719 0.861 0.930
37 H 0.219 0.639 0.320
38 H 0.781 0.361 0.820
39 H 0.139 0.281 0.570
40 H 0.861 0.719 0.070
41 H 0.137 0.977 0.480
42 H 0.863 0.023 0.980
43 H 0.477 0.363 0.730
44 H 0.523 0.637 0.230
45 H 0.023 0.863 0.020
46 H 0.977 0.137 0.520
47 H 0.363 0.477 0.270
48 H 0.637 0.523 0.770
49 H 0.654 0.759 0.432
50 H 0.346 0.241 0.932
51 H 0.259 0.846 0.682
52 H 0.741 0.154 0.182
53 H 0.241 0.346 0.068
54 H 0.759 0.654 0.568
55 H 0.846 0.259 0.318
56 H 0.154 0.741 0.818
57 O 0.920 0.862 0.241
58 O 0.080 0.138 0.741
59 O 0.362 0.580 0.491
60 O 0.638 0.420 0.991
61 O 0.138 0.080 0.259
62 O 0.862 0.920 0.759
63 O 0.580 0.362 0.509
64 O 0.420 0.638 0.009
65 O 0.339 0.872 0.230
66 O 0.661 0.128 0.730
67 O 0.372 0.161 0.480
68 O 0.628 0.839 0.980
69 O 0.128 0.661 0.270
70 O 0.872 0.339 0.770
71 O 0.161 0.372 0.520
72 O 0.839 0.628 0.020
73 O 0.132 0.874 0.456
74 O 0.868 0.126 0.956
75 O 0.374 0.368 0.706
76 O 0.626 0.632 0.206
77 O 0.126 0.868 0.044
78 O 0.874 0.132 0.544
79 O 0.368 0.374 0.294
80 O 0.632 0.626 0.794
81 O 0.625 0.853 0.471
82 O 0.375 0.147 0.971
83 O 0.353 0.875 0.721
84 O 0.647 0.125 0.221
85 O 0.147 0.375 0.029
86 O 0.853 0.625 0.529
87 O 0.875 0.353 0.279
88 O 0.125 0.647 0.779

***

(8)
The following is a GGA-PBEsol calculation of an optimized crystal structure of LaCo3Ir, from Alexandria.

Output
Energy of formation   1.88 eV per atom

Lattice parameters (Å, degrees): 4.347 4.347 4.347 90.00 90.00 90.00
Site moments in Bohr magnetons follow the coordinates.
Sites, in units of the cell vectors:
1 Ir 0.500 0.500 0.500  0.55
2 Co 0.000 0.500 0.000  0.60
3 Co 0.000 0.000 0.500  0.60
4 Co 0.500 0.000 0.000  0.60
5 La 0.000 0.000 0.000  -0.09

***

(9)
The following is a GGA-PBEsol calculation of an optimized crystal structure of ScZnAs2Br, from Alexandria.

Output
Uncorrected formation energy   0.105 eV/atom

Lattice parameters (Å, degrees): 4.678 4.678 5.183 90.00 90.00 90.00
Sites, in units of the cell vectors:
1 Sc 0.500 0.500 0.500
2 As 0.000 0.500 0.000
3 As 0.500 0.000 0.000
4 Zn 0.000 0.000 0.000
5 Br 0.000 0.000 0.500

***

(10)
The following is a GGA-PBEsol calculation of an optimized crystal structure of ZrPdIN2, from Alexandria.

Output
Uncorrected formation energy   1.236 eV/atom

Lattice parameters (Å, degrees): 4.081 4.081 4.987 90.00 90.00 90.00
Sites, in units of the cell vectors:
1 I 0.000 0.000 0.500
2 Zr 0.500 0.500 0.500
3 Pd 0.000 0.000 0.000
4 N 0.000 0.500 0.000
5 N 0.500 0.000 0.000

***

(11)
The following is a GGA-PBEsol calculation of an optimized crystal structure of CeCu2Si2, from Alexandria.

Output
Uncorrected formation energy   -0.602 eV/atom

Lattice parameters (Å, degrees): 4.028 4.028 5.622 110.99 110.99 90.00
Site moments in Bohr magnetons follow the coordinates.
Sites, in units of the cell vectors:
1 Si 0.379 0.379 0.758  0.00
2 Si 0.621 0.621 0.242  0.00
3 Cu 0.250 0.750 0.500  0.00
4 Cu 0.750 0.250 0.500  0.00
5 Ce 0.000 0.000 0.000  0.28

***

(12)
The following is a GGA-PBEsol calculation of an optimized crystal structure of Sr2Rh2Se, from Alexandria.

Output
Uncorrected formation energy   -0.613 eV/atom

Lattice parameters (Å, degrees): 3.663 3.663 9.013 101.72 101.72 90.00
Site moments in Bohr magnetons follow the coordinates.
Sites, in units of the cell vectors:
1 Sr 0.396 0.396 0.791  0.00
2 Sr 0.604 0.604 0.209  0.00
3 Rh 0.250 0.750 0.500  0.16
4 Rh 0.750 0.250 0.500  0.16
5 Se 0.000 0.000 0.000  0.00